PtI3Cl after structural relaxation. Source: Alexandria, functional PBE-GGA.

Values from the calculation:
uncorrected formation energy: -0.1961 eV/atom
energy above the most stable polymorph in this dataset: 0 meV/atom
SG: Cc, No. 9

Unit cell a=6.825 b=6.933 c=9.265 alpha=74.68 beta=75.12 gamma=107.35
Fractional positions:
I: 0.931 0.187 0.584
Cl: 0.480 0.801 0.542
Cl: 0.783 0.604 0.936
I: 0.276 0.032 0.894
I: 0.567 0.353 0.363
I: 0.691 0.977 0.115
I: 0.140 0.457 0.127
Pt: 0.800 0.101 0.350
Pt: 0.911 0.713 0.128
I: 0.028 0.845 0.351

SrTiBi2O6 after structural relaxation. Source: Alexandria, functional PBE-GGA.

Values from the calculation:
uncorrected formation energy: -2.0854 eV/atom
density of states at the Fermi level: 0.00 states/eV per cell
SG: R3, No. 146

Unit cell a=5.930 b=5.930 c=6.100 alpha=60.91 beta=60.91 gamma=59.99
Fractional positions:
Sr: 0.802 0.802 0.594
Bi: 0.520 0.520 0.439
Ti: 0.311 0.311 0.068
O: 0.156 0.405 0.762
O: 0.569 0.194 0.234
O: 0.194 0.002 0.234
O: 0.002 0.569 0.234
O: 0.677 0.156 0.762
Bi: 0.024 0.025 0.926
O: 0.405 0.677 0.762

CdRe2NCl after structural relaxation. Source: Alexandria, functional PBE-GGA.

Values from the calculation:
uncorrected formation energy: 2.3214 eV/atom
density of states at the Fermi level: 5.49 states/eV per cell
SG: P4/mmm, No. 123

Unit cell a=4.470 b=4.000 c=4.470 alpha=90.00 beta=90.00 gamma=90.00
Fractional positions:
Re: 0.500 0.000 0.000
N: 0.000 0.500 0.000
Re: 0.000 0.000 0.500
Cl: 0.000 0.000 0.000
Cd: 0.500 0.500 0.500

MgSn3I8 after structural relaxation. Source: Alexandria, functional PBE-GGA.

Values from the calculation:
uncorrected formation energy: -0.6188 eV/atom
SG: C222, No. 21

Unit cell a=7.882 b=7.882 c=8.952 alpha=90.00 beta=90.00 gamma=110.25
Fractional positions:
I: 0.734 0.741 0.732
I: 0.266 0.259 0.732
Sn: 0.500 0.500 0.000
I: 0.251 0.749 0.000
I: 0.741 0.734 0.268
Sn: 0.500 0.000 0.748
I: 0.749 0.251 0.000
I: 0.259 0.266 0.268
I: 0.272 0.728 0.500
Mg: 0.500 0.500 0.500
Sn: 0.000 0.500 0.252
I: 0.728 0.272 0.500

Rb2LiScF6 after structural relaxation. Source: Alexandria, functional PBE-GGA.

Values from the calculation:
uncorrected formation energy: -3.3328 eV/atom
density of states at the Fermi level: 0.00 states/eV per cell
SG: Fm-3m, No. 225

Unit cell a=5.980 b=5.980 c=5.980 alpha=60.00 beta=60.00 gamma=60.00
Fractional positions:
Li: 0.500 0.500 0.500
F: 0.758 0.758 0.242
F: 0.242 0.758 0.758
Rb: 0.250 0.250 0.250
Rb: 0.750 0.750 0.750
F: 0.758 0.242 0.758
F: 0.242 0.242 0.758
F: 0.758 0.242 0.242
Sc: 0.000 0.000 0.000
F: 0.242 0.758 0.242

La3Al4 after structural relaxation. Source: Alexandria, functional PBE-GGA.

Values from the calculation:
formation energy: -0.397 eV per atom
density of states at the Fermi level: 11.32 states/eV per cell
SG: Cmcm, No. 63

Unit cell a=4.593 b=6.209 c=14.049 alpha=90.00 beta=90.00 gamma=111.71
Fractional positions:
La: 0.025 0.051 0.250
Al: 0.561 0.121 0.594
Al: 0.311 0.622 0.250
La: 0.733 0.465 0.101
La: 0.270 0.539 0.601
Al: 0.561 0.121 0.907
Al: 0.001 0.002 0.000
La: 0.270 0.539 0.900
Al: 0.001 0.002 0.500
Al: 0.442 0.883 0.094
Al: 0.442 0.883 0.407
Al: 0.691 0.383 0.750
La: 0.733 0.465 0.400
La: 0.977 0.954 0.750

TaSbPb2 after structural relaxation. Source: Alexandria, functional PBE-GGA.

Values from the calculation:
uncorrected formation energy: 0.4795 eV/atom
density of states at the Fermi level: 5.21 states/eV per cell
SG: P4/mmm, No. 123

Unit cell a=3.103 b=3.103 c=11.175 alpha=90.00 beta=90.00 gamma=90.00
Fractional positions:
Ta: 0.500 0.500 0.750
Pb: 0.000 0.000 0.539
Pb: 0.000 0.000 0.961
Sb: 0.500 0.500 0.250

BeNi2Br after structural relaxation. Source: Alexandria, functional PBE-GGA.

Values from the calculation:
uncorrected formation energy: 0.5262 eV/atom
density of states at the Fermi level: 2.91 states/eV per cell
energy above the most stable polymorph in this dataset: 393 meV/atom
SG: C2/m, No. 12

Unit cell a=4.246 b=4.816 c=3.126 alpha=70.36 beta=91.51 gamma=116.70
Fractional positions:
Ni: 0.500 0.000 0.500
Be: 0.000 0.500 0.500
Br: 0.500 0.500 0.000
Ni: 0.000 0.000 0.000

K4Sm3USe8 after structural relaxation. Source: Alexandria, functional PBE-GGA.

Values from the calculation:
uncorrected formation energy: -1.6171 eV/atom
density of states at the Fermi level: 9.36 states/eV per cell
SG: R-3m, No. 166

Unit cell a=8.574 b=9.155 c=8.574 alpha=117.93 beta=120.00 gamma=90.00
Site moments in Bohr magnetons follow the coordinates.
Fractional positions:
Se: 0.263 0.290 0.527  0.00
Se: 0.235 0.708 0.974  -0.02
Sm: 0.500 0.500 0.500  0.05
Se: 0.765 0.292 0.530  -0.02
Se: 0.235 0.708 0.470  -0.02
K: 0.500 0.000 0.000  0.00
Sm: 0.000 0.500 0.500  0.05
Se: 0.765 0.292 0.026  -0.02
Se: 0.737 0.710 0.473  0.00
U: 0.000 0.500 0.000  2.62
K: 0.500 0.000 0.500  0.00
Sm: 0.500 0.500 0.000  0.05
Se: 0.739 0.708 0.974  -0.02
Se: 0.261 0.292 0.026  -0.02
K: 0.000 0.000 0.000  0.00
K: 0.000 0.000 0.500  0.00

CaReAg2 after structural relaxation. Source: Alexandria, functional PBE-GGA.

Values from the calculation:
formation energy: 0.525 eV per atom
density of states at the Fermi level: 3.85 states/eV per cell
energy above the most stable polymorph in this dataset: 52 meV/atom
SG: Pm, No. 6

Unit cell a=4.846 b=2.772 c=5.664 alpha=79.59 beta=90.00 gamma=90.00
Fractional positions:
Ag: 0.000 0.125 0.975
Ca: 0.000 0.491 0.484
Ag: 0.500 0.102 0.252
Re: 0.500 0.782 0.789

Sb2As2Pd after structural relaxation. Source: Alexandria, functional PBE-GGA.

Values from the calculation:
uncorrected formation energy: 0.1739 eV/atom
density of states at the Fermi level: 4.50 states/eV per cell
energy above the most stable polymorph in this dataset: 220 meV/atom
SG: P4/mbm, No. 127

Unit cell a=7.516 b=7.516 c=4.045 alpha=90.00 beta=90.00 gamma=90.00
Fractional positions:
Sb: 0.169 0.669 0.500
Pd: 0.500 0.500 0.000
Pd: 0.000 0.000 0.000
As: 0.836 0.664 0.000
As: 0.164 0.336 0.000
As: 0.336 0.836 0.000
Sb: 0.331 0.169 0.500
Sb: 0.831 0.331 0.500
As: 0.664 0.164 0.000
Sb: 0.669 0.831 0.500

Zr2AgSb after structural relaxation. Source: Alexandria, functional PBE-GGA.

Values from the calculation:
uncorrected formation energy: -0.3351 eV/atom
density of states at the Fermi level: 2.97 states/eV per cell
SG: P4/mmm, No. 123

Unit cell a=4.471 b=4.470 c=4.242 alpha=90.00 beta=90.00 gamma=90.00
Fractional positions:
Ag: 0.500 0.000 0.500
Sb: 0.000 0.500 0.500
Zr: 0.500 0.500 0.000
Zr: 0.000 0.000 0.000

HfTi2V after structural relaxation. Source: Alexandria, functional PBE-GGA.

Values from the calculation:
formation energy: 0.076 eV per atom
density of states at the Fermi level: 6.58 states/eV per cell
energy above the most stable polymorph in this dataset: 0 meV/atom
SG: P4/mmm, No. 123

Unit cell a=3.236 b=3.236 c=6.671 alpha=90.00 beta=90.00 gamma=90.00
Fractional positions:
Ti: 0.000 0.000 0.209
Ti: 0.000 0.000 0.791
V: 0.500 0.500 0.000
Hf: 0.500 0.500 0.500

Si2TeSe after structural relaxation. Source: Alexandria, functional PBE-GGA.

Values from the calculation:
uncorrected formation energy: 0.5238 eV/atom
density of states at the Fermi level: 3.18 states/eV per cell
energy above the most stable polymorph in this dataset: 589 meV/atom
SG: P4/mmm, No. 123

Unit cell a=3.419 b=3.417 c=7.078 alpha=90.00 beta=90.00 gamma=90.00
Fractional positions:
Te: 0.500 0.500 0.250
Si: 0.000 0.000 0.530
Si: 0.000 0.000 0.970
Se: 0.500 0.500 0.750

Cs2YBr6O after structural relaxation. Source: Alexandria, functional PBE-GGA.

Values from the calculation:
uncorrected formation energy: -1.1900 eV/atom
density of states at the Fermi level: 2.25 states/eV per cell
SG: I4/mmm, No. 139

Unit cell a=7.470 b=7.470 c=8.286 alpha=63.21 beta=63.21 gamma=90.00
Site moments in Bohr magnetons follow the coordinates.
Fractional positions:
Br: 0.266 0.266 0.000  0.02
Br: 0.782 0.782 0.435  -0.01
Br: 0.218 0.218 0.565  -0.01
Cs: 0.250 0.750 0.500  0.00
Br: 0.266 0.734 0.000  -0.01
Br: 0.734 0.266 0.000  -0.01
Br: 0.734 0.734 0.000  0.02
Cs: 0.750 0.250 0.500  0.00
O: 0.500 0.500 0.000  0.74
Y: 0.000 0.000 0.000  0.08

RbSi2Rh after structural relaxation. Source: Alexandria, functional PBE-GGA.

Values from the calculation:
uncorrected formation energy: -0.1468 eV/atom
density of states at the Fermi level: 0.34 states/eV per cell
energy above the most stable polymorph in this dataset: 0 meV/atom
SG: I4_1/amd, No. 141

Unit cell a=6.044 b=6.044 c=7.835 alpha=67.31 beta=67.31 gamma=90.00
Fractional positions:
Si: 0.875 0.125 0.250
Rh: 0.000 0.000 0.000
Rb: 0.250 0.750 0.500
Si: 0.875 0.625 0.250
Si: 0.875 0.125 0.750
Si: 0.375 0.125 0.750
Rb: 0.500 0.500 0.000
Rh: 0.750 0.250 0.500

ScZnCu after structural relaxation. Source: Alexandria, functional PBE-GGA.

Values from the calculation:
formation energy: -0.254 eV per atom
density of states at the Fermi level: 3.61 states/eV per cell
SG: Cmcm, No. 63

Unit cell a=3.952 b=4.405 c=6.005 alpha=90.05 beta=109.21 gamma=90.00
Fractional positions:
Sc: 0.901 0.750 0.802
Zn: 0.599 0.750 0.199
Zn: 0.401 0.250 0.801
Cu: 0.761 0.249 0.522
Sc: 0.099 0.250 0.198
Cu: 0.239 0.751 0.478

NaLiTm2O4 after structural relaxation. Source: Alexandria, functional PBE-GGA.

Values from the calculation:
uncorrected formation energy: -2.8807 eV/atom
density of states at the Fermi level: 0.00 states/eV per cell
SG: Imma, No. 74

Unit cell a=6.648 b=6.648 c=6.604 alpha=119.79 beta=119.79 gamma=90.13
Fractional positions:
O: 0.739 0.761 0.018
O: 0.284 0.763 0.023
Li: 0.000 0.000 0.000
Li: 0.500 0.500 0.500
Tm: 0.500 0.000 0.000
Na: 0.000 0.500 0.000
Na: 0.000 0.500 0.500
Tm: 0.000 0.000 0.500
O: 0.261 0.239 0.518
Tm: 0.500 0.500 0.000
O: 0.261 0.239 0.982
Tm: 0.500 0.000 0.500
O: 0.739 0.761 0.482
O: 0.716 0.237 0.977
O: 0.737 0.216 0.477
O: 0.263 0.784 0.523

NaAs2Se3 after structural relaxation. Source: Alexandria, functional PBE-GGA.

Values from the calculation:
uncorrected formation energy: -0.1303 eV/atom
density of states at the Fermi level: 1.60 states/eV per cell
energy above the most stable polymorph in this dataset: 218 meV/atom
SG: Cmcm, No. 63

Unit cell a=6.544 b=7.717 c=7.717 alpha=92.38 beta=90.00 gamma=90.00
Fractional positions:
As: 0.000 0.185 0.185
Se: 0.750 0.195 0.439
Se: 0.250 0.439 0.195
As: 0.500 0.815 0.815
As: 0.000 0.815 0.815
Na: 0.750 0.586 0.414
Se: 0.250 0.919 0.081
Se: 0.750 0.561 0.805
As: 0.500 0.185 0.185
Na: 0.250 0.414 0.586
Se: 0.750 0.081 0.919
Se: 0.250 0.805 0.561

Y2MgCl after structural relaxation. Source: Alexandria, functional PBE-GGA.

Values from the calculation:
uncorrected formation energy: -0.6139 eV/atom
density of states at the Fermi level: 3.93 states/eV per cell
energy above the most stable polymorph in this dataset: 34 meV/atom
SG: Pm, No. 6

Unit cell a=5.523 b=3.621 c=5.523 alpha=89.92 beta=90.00 gamma=90.00
Fractional positions:
Y: 0.000 0.251 0.876
Mg: 0.500 0.750 0.874
Cl: 0.000 0.250 0.375
Y: 0.500 0.250 0.375

NaCu5F12 after structural relaxation. Source: Alexandria, functional PBE-GGA.

Values from the calculation:
uncorrected formation energy: -1.5633 eV/atom
density of states at the Fermi level: 11.53 states/eV per cell
SG: C2/m, No. 12

Unit cell a=5.432 b=5.544 c=8.871 alpha=89.89 beta=89.78 gamma=60.66
Site moments in Bohr magnetons follow the coordinates.
Fractional positions:
F: 0.371 0.000 0.114  0.17
F: 0.505 0.330 0.601  0.15
F: 0.495 0.670 0.399  0.15
Cu: 0.166 0.668 0.500  0.74
F: 0.165 0.330 0.399  0.15
F: 0.628 0.366 0.112  0.17
Na: 0.000 0.000 0.000  0.00
F: 0.994 0.634 0.112  0.17
F: 0.372 0.634 0.888  0.17
F: 0.834 0.000 0.394  0.14
Cu: 0.334 0.333 0.000  0.89
F: 0.166 0.000 0.606  0.14
Cu: 0.500 0.000 0.500  0.75
Cu: 0.666 0.667 0.000  0.89
F: 0.629 0.000 0.886  0.17
F: 0.835 0.670 0.601  0.15
Cu: 0.834 0.332 0.500  0.74
F: 0.006 0.366 0.888  0.17

LiTeW2 after structural relaxation. Source: Alexandria, functional PBE-GGA.

Values from the calculation:
uncorrected formation energy: 0.5911 eV/atom
density of states at the Fermi level: 2.61 states/eV per cell
SG: P4/mmm, No. 123

Unit cell a=4.673 b=3.819 c=3.819 alpha=90.00 beta=90.00 gamma=90.00
Fractional positions:
Li: 0.500 0.500 0.000
Te: 0.500 0.000 0.500
W: 0.000 0.500 0.500
W: 0.000 0.000 0.000

NpMn2Co9 after structural relaxation. Source: Alexandria, functional PBE-GGA.

Values from the calculation:
formation energy: 0.030 eV per atom
density of states at the Fermi level: 18.09 states/eV per cell
SG: R-3m, No. 166

Unit cell a=4.779 b=4.779 c=8.268 alpha=73.20 beta=73.20 gamma=60.00
Site moments in Bohr magnetons follow the coordinates.
Fractional positions:
Co: 0.336 0.336 0.992  1.36
Co: 0.664 0.664 0.008  1.36
Co: 0.079 0.590 0.740  1.58
Co: 0.921 0.410 0.260  1.58
Co: 0.590 0.590 0.740  1.58
Mn: 0.854 0.854 0.437  3.57
Np: 0.000 0.000 0.000  -3.57
Co: 0.590 0.079 0.740  1.58
Co: 0.410 0.921 0.260  1.58
Co: 0.410 0.410 0.260  1.58
Mn: 0.146 0.146 0.563  3.57
Co: 0.500 0.500 0.500  1.67